TbErS2Br2 PBE relaxed; symmetry = Pmm2; total energy = -5.4806 eV/atom
1.0
4.059 0.000 0.000
0.000 5.347 0.000
0.000 0.000 9.104
Br Er S Tb
2 1 2 1
Direct
0.000 0.500 0.346 Br
0.500 0.000 0.660 Br
0.000 0.000 0.873 Er
0.500 0.000 0.072 S
0.000 0.500 0.923 S
0.500 0.500 0.127 Tb



CsTmAg PBE relaxed; symmetry = F-43m; total energy = -1.5661 eV/atom; energy above the lowest structure with this stoichiometry = 0.97 eV per formula unit
1.0
2.390 -5.055 -0.784
-2.805 -4.052 -2.755
1.656 -1.569 -5.164
Ag Cs Tm
1 1 1
Direct
0.000 0.000 0.000 Ag
0.250 0.250 0.250 Cs
0.500 0.500 0.500 Tm



PrAs2Pd4 PBE relaxed; symmetry = P4_2/mnm; total energy = -5.7291 eV/atom
1.0
7.821 0.000 0.000
0.000 7.821 0.000
0.000 0.000 4.086
As Pd Pr
4 8 2
Direct
0.719 0.281 0.000 As
0.281 0.719 0.000 As
0.219 0.219 0.500 As
0.781 0.781 0.500 As
0.410 0.159 0.000 Pd
0.159 0.410 0.000 Pd
0.841 0.590 0.000 Pd
0.590 0.841 0.000 Pd
0.659 0.090 0.500 Pd
0.910 0.341 0.500 Pd
0.090 0.659 0.500 Pd
0.341 0.910 0.500 Pd
0.000 0.000 0.000 Pr
0.500 0.500 0.500 Pr



LaPr2GaF3 PBE relaxed; symmetry = P4/mmm; total energy = -5.3991 eV/atom
1.0
5.480 0.000 0.000
0.000 5.480 0.000
0.000 0.000 5.547
F Ga La Pr
3 1 1 2
Direct
0.500 0.000 0.000 F
0.000 0.500 0.000 F
0.500 0.500 0.500 F
0.000 0.000 0.500 Ga
0.000 0.000 0.000 La
0.500 0.000 0.500 Pr
0.000 0.500 0.500 Pr



Among the records above, which one has the lowest total energy? PrAs2Pd4